# PBE CaB4Pt3O12, optimized geometry
data_CaB4Pt3O12
_space_group_name_H-M_alt 'P 1'
_space_group_IT_number 1
_space_group_name_Hall 'P 1'
_cell_length_a 6.234
_cell_length_b 6.234
_cell_length_c 6.234
_cell_angle_alpha 102.77
_cell_angle_beta 102.77
_cell_angle_gamma 102.77
loop_
_atom_site_label
_atom_site_type_symbol
_atom_site_fract_x
_atom_site_fract_y
_atom_site_fract_z
O1 O 0.907 0.500 0.093
O2 O 0.642 0.500 0.358
O3 O 0.370 0.975 0.201
O4 O 0.093 0.907 0.500
O5 O 0.025 0.630 0.799
O6 O 0.500 0.358 0.642
O7 O 0.799 0.025 0.630
O8 O 0.201 0.370 0.975
O9 O 0.975 0.201 0.370
O10 O 0.358 0.642 0.500
O11 O 0.630 0.799 0.025
O12 O 0.500 0.093 0.907
B1 B 0.500 0.500 0.500
B2 B 0.946 0.054 0.500
B3 B 0.054 0.500 0.946
B4 B 0.500 0.946 0.054
Pt1 Pt 0.547 0.453 0.000
Pt2 Pt 0.453 0.000 0.547
Pt3 Pt 0.000 0.547 0.453
Ca1 Ca 0.000 0.000 0.000
# space-group type: No. 155
# E_tot: -6.88 eV per atom
# energy relative to the elements, uncorrected: -150.9 kJ per mole of atoms
# total magnetic moment: 0.01 μB/cell